(1)
GdCuSnS3 | GGA-PBE | optimized geometry

Energy above the most stable polymorph in this dataset in kJ/mol of atoms: 0.0

Cell: 10.3250 3.9147 12.7796 Å, 90.00 90.00 90.00°
Positions (direct):
Cu 0.7656 0.2500 0.2205
Cu 0.2656 0.2500 0.2795
Cu 0.7344 0.7500 0.7205
Cu 0.2344 0.7500 0.7795
Gd 0.5182 0.7500 0.2381
Gd 0.0182 0.7500 0.2619
Gd 0.9818 0.2500 0.7381
Gd 0.4818 0.2500 0.7619
S 0.5959 0.2500 0.1027
S 0.9513 0.2500 0.1150
S 0.2623 0.7500 0.1705
S 0.7623 0.7500 0.3295
S 0.4513 0.2500 0.3850
S 0.0959 0.2500 0.3973
S 0.9041 0.7500 0.6027
S 0.5487 0.7500 0.6150
S 0.2377 0.2500 0.6705
S 0.7377 0.2500 0.8295
S 0.0487 0.7500 0.8850
S 0.4041 0.7500 0.8973
Sn 0.7837 0.7500 0.0015
Sn 0.2837 0.7500 0.4985
Sn 0.7163 0.2500 0.5015
Sn 0.2163 0.2500 0.9985

---

(2)
LiTmNiTe3 | GGA-PBE | optimized geometry

Energy above the most stable polymorph in this dataset in kJ/mol of atoms: 2.2

Cell: 11.8701 4.1085 12.0620 Å, 90.00 90.00 90.00°
Positions (direct):
Li 0.9418 0.0000 0.2321
Li 0.4418 0.5000 0.2679
Li 0.5582 0.0000 0.7321
Li 0.0582 0.5000 0.7679
Ni 0.7746 0.5000 0.2430
Ni 0.2746 0.0000 0.2570
Ni 0.7254 0.5000 0.7430
Ni 0.2254 0.0000 0.7570
Te 0.8879 0.5000 0.0687
Te 0.4225 0.0000 0.0957
Te 0.1752 0.5000 0.1910
Te 0.6752 0.0000 0.3090
Te 0.9225 0.5000 0.4043
Te 0.3879 0.0000 0.4313
Te 0.6121 0.5000 0.5687
Te 0.0775 0.0000 0.5957
Te 0.3248 0.5000 0.6910
Te 0.8248 0.0000 0.8090
Te 0.5775 0.5000 0.9043
Te 0.1121 0.0000 0.9313
Tm 0.7011 0.0000 0.0516
Tm 0.2011 0.5000 0.4484
Tm 0.7989 0.0000 0.5516
Tm 0.2989 0.5000 0.9484

---

(3)
NaGeAsPd2 | GGA-PBE | optimized geometry

Raw total energy in eV/atom: -4.64

Cell: 5.9504 5.9504 5.9504 Å, 137.12 137.12 62.26°
Positions (direct):
As 0.3762 0.3762 0.0000
Ge 0.6242 0.6242 0.0000
Na 0.0000 0.0000 0.0000
Pd 0.7498 0.2498 0.5000
Pd 0.2498 0.7498 0.5000

---

(4)
MgPaAg | GGA-PBE | optimized geometry

Energy above the most stable polymorph in this dataset in kJ/mol of atoms: 54.3

Cell: 4.9384 4.9384 4.9384 Å, 60.00 60.00 60.00°
Last column: magnetic moment on the atom in μB.
Positions (direct):
Ag 0.5000 0.5000 0.5000  0.02
Mg 0.0000 0.0000 0.0000  0.01
Pa 0.2500 0.2500 0.2500  1.16